(1)
Density functional theory data (GGA-PBE) for a relaxed Pm4Mg2Ni crystal.

## Properties
Its space group is No. 139. The size of the total moment comes out at 0.00 μB per cell.

Cell lengths 8.9677, 8.9677, 8.9677 Å; angles 145.97, 145.97, 48.89 degrees
Closest atoms and distances in Å follow each position.
Positions (direct):
Pm (0.0000, 0.5000, 0.5000)  2 Ni 2.62
Pm (0.1740, 0.1740, 0.0000)  1 Ni 2.84
Pm (0.5000, 0.0000, 0.5000)  2 Ni 2.62
Pm (0.8260, 0.8260, 0.0000)  1 Ni 2.84
Mg (0.3704, 0.3704, 0.0000)  5 Pm 3.21-3.37
Mg (0.6296, 0.6296, 0.0000)  5 Pm 3.21-3.37
Ni (0.0000, 0.0000, 0.0000)  6 Pm 2.62-2.84

***

(2)
Density functional theory data (GGA-PBE) for a relaxed PmMgNi crystal.

## Properties
Its space group is No. 216. The size of the total moment comes out at 0.00 μB per cell.

Cell lengths 4.6430, 4.6430, 4.6430 Å; angles 60.00, 60.00, 60.00 degrees
Closest atoms and distances in Å follow each position.
Positions (direct):
Pm (0.0000, 0.0000, 0.0000)  4 Ni 2.84
Mg (0.5000, 0.5000, 0.5000)  4 Ni 2.84
Ni (0.2500, 0.2500, 0.2500)  4 Mg 2.84, 4 Pm 2.84

***

| no. | ΔE_f (kcal/mol of atoms) | energy (eV per atom) |
| --- | --- | --- |
| 1 | 2.12 | -3.90 |
| 2 | -2.93 | -4.17 |